Entry 1:
# LaAgIr2 (meta-GGA SCAN, PBEsol geometry)
data_LaAgIr2
_space_group_name_H-M_alt 'P 4 m m'
_space_group_IT_number 99
_cell_length_a 2.872
_cell_length_b 2.872
_cell_length_c 8.687
_cell_angle_alpha 90.00
_cell_angle_beta 90.00
_cell_angle_gamma 90.00
loop_
_space_group_symop_operation_xyz
'x,y,z'
'-y,x,z'
'-x,-y,z'
'y,-x,z'
'-x,y,z'
'y,x,z'
'x,-y,z'
'-y,-x,z'
loop_
_atom_site_label
_atom_site_fract_x
_atom_site_fract_y
_atom_site_fract_z
_atom_site_occupancy
La1 0.000 0.000 0.000 1
Ag1 0.500 0.500 0.297 1
Ir1 0.000 0.000 0.526 1
Ir2 0.500 0.500 0.718 1
# Total magnetic moment ... 0.00 μB/atom
# Energy relative to the elements ... 182 meV per atom
# Density of states at the Fermi level ... 3.43 states/eV/cell

***

Entry 2:
# LiAsSe3 (meta-GGA SCAN, PBEsol geometry)
data_LiAsSe3
_space_group_name_H-M_alt 'P m -3 m'
_space_group_IT_number 221
_space_group_name_Hall '-P 4 2 3'
_cell_length_a 5.021
_cell_length_b 5.021
_cell_length_c 5.021
_cell_angle_alpha 90.00
_cell_angle_beta 90.00
_cell_angle_gamma 90.00
loop_
_atom_site_label
_atom_site_fract_x
_atom_site_fract_y
_atom_site_fract_z
_atom_site_occupancy
Li1 0.000 0.000 0.000 1
As1 0.500 0.500 0.500 1
Se1 0.000 0.500 0.500 1
# Uncorrected formation energy ... 4 kJ/mol of atoms
# Total magnetic moment ... 0.00 μB/atom
# Density of states at the Fermi level ... 3.42 states/eV/cell

***

Entry 3:
# Sr2ZnSb (meta-GGA SCAN, PBEsol geometry)
data_Sr2ZnSb
_space_group_name_H-M_alt 'F -4 3 m'
_space_group_IT_number 216
_space_group_name_Hall 'F -4 2 3'
_cell_length_a 7.866
_cell_length_b 7.866
_cell_length_c 7.866
_cell_angle_alpha 90.00
_cell_angle_beta 90.00
_cell_angle_gamma 90.00
loop_
_atom_site_label
_atom_site_fract_x
_atom_site_fract_y
_atom_site_fract_z
_atom_site_occupancy
Sr1 0.000 0.000 0.000 1
Sr2 0.250 0.250 0.250 1
Zn1 0.000 0.000 0.500 1
Sb1 0.250 0.250 0.750 1
# Uncorrected formation energy ... -15 kJ/mol of atoms
# Total magnetic moment ... 0.00 μB/atom
# Density of states at the Fermi level ... 9.32 states/eV/cell

***

Entry 4:
# Li3V2P5O18 (meta-GGA SCAN, PBEsol geometry)
data_Li3V2P5O18
_space_group_name_H-M_alt 'P -1'
_space_group_IT_number 2
_cell_length_a 6.242
_cell_length_b 9.393
_cell_length_c 10.878
_cell_angle_alpha 80.05
_cell_angle_beta 87.70
_cell_angle_gamma 89.68
loop_
_space_group_symop_operation_xyz
'x,y,z'
'-x,-y,-z'
loop_
_atom_site_label
_atom_site_fract_x
_atom_site_fract_y
_atom_site_fract_z
_atom_site_occupancy
Li1 0.002 0.408 0.364 1
Li2 0.113 0.700 0.824 1
Li3 0.481 0.233 0.137 1
V1 0.211 0.836 0.068 1
V2 0.321 0.278 0.563 1
P1 0.167 0.784 0.381 1
P2 0.197 0.099 0.352 1
P3 0.234 0.511 0.110 1
P4 0.285 0.086 0.861 1
P5 0.480 0.544 0.691 1
O1 0.012 0.200 0.325 1
O2 0.012 0.316 0.553 1
O3 0.027 0.484 0.186 1
O4 0.087 0.135 0.937 1
O5 0.108 0.938 0.411 1
O6 0.171 0.790 0.241 1
O7 0.218 0.662 0.014 1
O8 0.263 0.918 0.889 1
O9 0.279 0.151 0.723 1
O10 0.307 0.136 0.473 1
O11 0.315 0.391 0.048 1
O12 0.317 0.448 0.640 1
O13 0.330 0.414 0.405 1
O14 0.350 0.080 0.247 1
O15 0.378 0.669 0.739 1
O16 0.378 0.730 0.436 1
O17 0.414 0.561 0.198 1
O18 0.493 0.131 0.917 1
# Uncorrected formation energy ... -239 kJ/mol of atoms
# Total magnetic moment ... 0.07 μB/atom
# Density of states at the Fermi level ... 0.11 states/eV/cell

***

Entry 5:
# LaNi2BiO (meta-GGA SCAN, PBEsol geometry)
data_LaNi2BiO
_space_group_name_H-M_alt 'P 4/m m m'
_space_group_IT_number 123
_space_group_name_Hall '-P 4 2'
_cell_length_a 4.956
_cell_length_b 4.956
_cell_length_c 4.129
_cell_angle_alpha 90.00
_cell_angle_beta 90.00
_cell_angle_gamma 90.00
loop_
_atom_site_label
_atom_site_fract_x
_atom_site_fract_y
_atom_site_fract_z
_atom_site_occupancy
La1 0.000 0.000 0.000 1
Ni1 0.000 0.500 0.000 1
Bi1 0.500 0.500 0.500 1
O1 0.000 0.000 0.500 1
# Uncorrected formation energy ... 14 kJ/mol of atoms
# Total magnetic moment ... 0.00 μB/atom
# Density of states at the Fermi level ... 3.59 states/eV/cell

***

Entry 6:
# CaMgPb (meta-GGA SCAN, PBEsol geometry)
data_CaMgPb
_space_group_name_H-M_alt 'P n m a'
_space_group_IT_number 62
_cell_length_a 7.841
_cell_length_b 4.708
_cell_length_c 8.853
_cell_angle_alpha 90.00
_cell_angle_beta 90.00
_cell_angle_gamma 90.00
loop_
_space_group_symop_operation_xyz
'x,y,z'
'-x,-y,-z'
'-x+1/2,-y,z+1/2'
'x+1/2,y,-z+1/2'
'x+1/2,-y+1/2,-z+1/2'
'-x+1/2,y+1/2,z+1/2'
'-x,y+1/2,-z'
'x,-y+1/2,z'
loop_
_atom_site_label
_atom_site_fract_x
_atom_site_fract_y
_atom_site_fract_z
_atom_site_occupancy
Ca1 0.022 0.250 0.184 1
Mg1 0.143 0.250 0.561 1
Pb1 0.239 0.750 0.382 1
# Total magnetic moment ... 0.00 μB/atom
# Energy relative to the elements ... -635 meV per atom
# Density of states at the Fermi level ... 1.34 states/eV/cell